No. 1
Material: TmHgGeBr6
Method: DFT, GGA-PBE
State: relaxed

Properties
Symmetry: P312 (149)
DOS at the Fermi energy: 3.8 states/eV per cell
Raw formation energy: -1016 meV/atom

abc: 7.1719 7.1719 6.9175
angles: 90.00 90.00 120.00
Last column: nearest neighbours and their distance in Å.
Element x y z (fractional)
1 Tm 0.0000 0.0000 0.0000  6 Br 2.78
2 Hg 0.3333 0.6667 0.5000  6 Br 3.18
3 Ge 0.6667 0.3333 0.0000  6 Br 2.81
4 Br 0.3303 0.0236 0.2287  1 Tm 2.78, 1 Ge 2.81
5 Br 0.3303 0.3067 0.7713  1 Tm 2.78, 1 Ge 2.81
6 Br 0.6933 0.0236 0.7713  1 Tm 2.78, 1 Ge 2.81
7 Br 0.6933 0.6697 0.2287  1 Tm 2.78, 1 Ge 2.81
8 Br 0.9764 0.3067 0.2287  1 Tm 2.78, 1 Ge 2.81
9 Br 0.9764 0.6697 0.7713  1 Tm 2.78, 1 Ge 2.81

---

No. 2
Material: Mn2ReAs
Method: DFT, GGA-PBE
State: relaxed

Properties
Energy relative to the elements: 0.120 eV/atom
Symmetry: Pmmm (47)
DOS at the Fermi energy: 3.9 states/eV per cell

abc: 2.8972 3.6912 5.1029
angles: 90.00 90.00 90.00
Last column: nearest neighbours and their distance in Å.
Element x y z (fractional)
1 Mn 0.0000 0.0000 0.2440  2 Mn 2.49-2.61, 4 Re 2.66, 4 As 2.69
2 Mn 0.0000 0.0000 0.7560  2 Mn 2.49-2.61, 4 Re 2.66, 4 As 2.69
3 Re 0.5000 0.5000 0.0000  2 As 2.55, 8 Mn 2.66
4 As 0.5000 0.5000 0.5000  2 Re 2.55, 8 Mn 2.69

---

No. 3
Material: YAl2Sn2
Method: DFT, GGA-PBE
State: relaxed

Properties
Energy relative to the elements: -0.190 eV/atom
Symmetry: P4/mbm (127)
DOS at the Fermi energy: 3.6 states/eV per cell

abc: 7.7618 7.7618 3.8588
angles: 90.00 90.00 90.00
Last column: nearest neighbours and their distance in Å.
Element x y z (fractional)
1 Y 0.0000 0.0000 0.0000  4 Al 3.09
2 Y 0.5000 0.5000 0.0000  4 Al 3.09
3 Al 0.1215 0.3785 0.0000  1 Al 2.67
4 Al 0.3785 0.8785 0.0000  1 Al 2.67
5 Al 0.6215 0.1215 0.0000  1 Al 2.67
6 Al 0.8785 0.6215 0.0000  1 Al 2.67
7 Sn 0.1698 0.6698 0.5000  6 Al 2.99-3.00
8 Sn 0.3302 0.1698 0.5000  6 Al 2.99-3.00
9 Sn 0.6698 0.8302 0.5000  6 Al 2.99-3.00
10 Sn 0.8302 0.3302 0.5000  6 Al 2.99-3.00

---

No. 4
Material: La4CoAuI2
Method: DFT, GGA-PBE
State: relaxed

Properties
Symmetry: P2/m (10)
DOS at the Fermi energy: 6.9 states/eV per cell
Raw formation energy: -806 meV/atom

abc: 7.4572 4.3249 8.5306
angles: 90.00 106.28 90.00
Last column: nearest neighbours and their distance in Å.
Element x y z (fractional)
1 La 0.2196 0.0000 0.1887  2 Co 2.91, 1 Au 2.98
2 La 0.2311 0.5000 0.8136  1 Co 2.65
3 La 0.7689 0.5000 0.1864  1 Co 2.65
4 La 0.7804 0.0000 0.8113  2 Co 2.91, 1 Au 2.98
5 Co 0.0000 0.5000 0.0000  6 La 2.65-2.91
6 Au 0.5000 0.0000 0.0000  6 La 2.98-3.07
7 I 0.0000 0.0000 0.5000  6 La 3.49-3.50
8 I 0.5000 0.5000 0.5000  6 La 3.60-3.77

---

No. 5
Material: Ba2TmZn2O6
Method: DFT, GGA-PBE
State: relaxed

Properties
Symmetry: R-3m (166)
DOS at the Fermi energy: 7.7 states/eV per cell
Raw formation energy: -2181 meV/atom

abc: 6.7829 6.7829 6.7829
angles: 53.37 53.37 53.37
Last column: nearest neighbours and their distance in Å.
Element x y z (fractional)
1 Ba 0.2125 0.2125 0.2125  3 O 2.76
2 Ba 0.7875 0.7875 0.7875  3 O 2.76
3 Tm 0.0000 0.0000 0.0000  6 O 2.22
4 Zn 0.4199 0.4199 0.4199  3 O 1.86
5 Zn 0.5801 0.5801 0.5801  3 O 1.86
6 O 0.2282 0.7578 0.7578  1 Zn 1.86
7 O 0.2422 0.2422 0.7718  1 Zn 1.86
8 O 0.2422 0.7718 0.2422  1 Zn 1.86
9 O 0.7578 0.2282 0.7578  1 Zn 1.86
10 O 0.7578 0.7578 0.2282  1 Zn 1.86
11 O 0.7718 0.2422 0.2422  1 Zn 1.86

---

No. 6
Material: Cs2Rb2Na
Method: DFT, GGA-PBE
State: relaxed

Properties
Energy relative to the elements: 0.051 eV/atom
Energy above the most stable polymorph in this dataset: 26 meV per atom
Symmetry: P4/mbm (127)
DOS at the Fermi energy: 8.2 states/eV per cell

abc: 10.7909 10.7909 7.8954
angles: 90.00 90.00 90.00
Last column: nearest neighbours and their distance in Å.
Element x y z (fractional)
1 Cs 0.1770 0.3230 0.0000  6 Rb 4.77-5.29
2 Cs 0.3230 0.8230 0.0000  6 Rb 4.77-5.29
3 Cs 0.6770 0.1770 0.0000  6 Rb 4.77-5.29
4 Cs 0.8230 0.6770 0.0000  6 Rb 4.77-5.29
5 Rb 0.1477 0.6477 0.5000  2 Na 4.12, 1 Rb 4.51
6 Rb 0.3523 0.1477 0.5000  2 Na 4.12, 1 Rb 4.51
7 Rb 0.6477 0.8523 0.5000  2 Na 4.12, 1 Rb 4.51
8 Rb 0.8523 0.3523 0.5000  2 Na 4.12, 1 Rb 4.51
9 Na 0.0000 0.0000 0.5000  4 Rb 4.12
10 Na 0.5000 0.5000 0.5000  4 Rb 4.12